[1]
{"formula": "ZrCl", "functional": "PBE", "state": "optimized geometry", "e_form_raw_ev_per_atom": -1.2255, "cell": [[3.3566, 0.0000, 0.0000], [-1.6783, 2.9069, 0.0000], [0.0000, 0.0000, 9.9814]], "species": ["Zr", "Zr", "Cl", "Cl"], "frac_coords": [[0.3333, 0.6667, 0.1259], [0.6667, 0.3333, 0.8741], [0.3333, 0.6667, 0.6929], [0.6667, 0.3333, 0.3071]]}

---

[2]
{"formula": "SrIn4Ru", "functional": "PBE", "state": "optimized geometry", "delta_e_f_mev_per_atom": 265, "cell": [[0.0000, 4.2145, 4.2145], [4.2145, 0.0000, 4.2145], [4.2145, 4.2145, 0.0000]], "species": ["Sr", "In", "In", "In", "In", "Ru"], "frac_coords": [[0.0000, 0.0000, 0.0000], [0.3756, 0.3756, 0.3756], [0.3756, 0.3756, 0.8732], [0.3756, 0.8732, 0.3756], [0.8732, 0.3756, 0.3756], [0.7500, 0.7500, 0.7500]]}

---

[3]
{"formula": "TaV9Sn2", "functional": "PBE", "state": "optimized geometry", "delta_e_f_mev_per_atom": 174, "cell": [[2.6059, 1.5045, 7.9443], [-2.6059, 1.5045, 7.9443], [0.0000, -3.0090, 7.9443]], "species": ["Ta", "V", "V", "V", "V", "V", "V", "V", "V", "V", "Sn", "Sn"], "frac_coords": [[0.0000, 0.0000, 0.0000], [0.0807, 0.5842, 0.5842], [0.3332, 0.3332, 0.3332], [0.4158, 0.4158, 0.9193], [0.4158, 0.9193, 0.4158], [0.5000, 0.5000, 0.5000], [0.5842, 0.0807, 0.5842], [0.5842, 0.5842, 0.0807], [0.6668, 0.6668, 0.6668], [0.9193, 0.4158, 0.4158], [0.1372, 0.1372, 0.1372], [0.8628, 0.8628, 0.8628]]}

---

Here are the calculated M_tot numbers, same order: 0.000, 1.714, 0.000 (μB per formula unit).
Here are the calculated D(E_F) numbers, same order: 1.1, 2.8, 16.5 (states/eV/f.u.).
Here are the calculated uncorrected energy numbers, same order: -6.4228, -3.3872, -8.3202 (eV per atom).